Entry 1:
This record from Alexandria describes an optimized crystal structure of BaSr4I8. The functional is PBE.

Cell: 9.653 9.653 9.653 Å, 60.00 60.00 60.00°
Element x y z (fractional)
Ba 0.750 0.750 0.750
Sr 0.922 0.359 0.359
Sr 0.359 0.922 0.359
Sr 0.359 0.359 0.922
Sr 0.359 0.359 0.359
I 0.644 0.119 0.119
I 0.119 0.644 0.119
I 0.119 0.119 0.644
I 0.119 0.119 0.119
I 0.175 0.608 0.608
I 0.608 0.175 0.608
I 0.608 0.608 0.175
I 0.608 0.608 0.608

Entry 2:
This record from Alexandria describes an optimized crystal structure of Ba2SrI6. The functional is PBE.

Cell: 8.700 8.700 7.261 Å, 90.00 90.00 120.00°
Element x y z (fractional)
Ba 0.333 0.667 0.500
Ba 0.667 0.333 0.500
Sr 0.000 0.000 0.000
I 0.000 0.673 0.758
I 0.000 0.327 0.242
I 0.327 0.327 0.758
I 0.673 0.673 0.242
I 0.327 0.000 0.242
I 0.673 0.000 0.758

Results
Energy above the lowest structure with this stoichiometry = 0.30 eV/f.u.

Entry 3:
This record from Alexandria describes an optimized crystal structure of BaSrI3. The functional is PBE.

Cell: 6.379 6.379 6.379 Å, 90.00 90.00 90.00°
Element x y z (fractional)
I 0.000 0.500 0.000
I 0.000 0.000 0.500
I 0.500 0.000 0.000
Sr 0.000 0.000 0.000
Ba 0.500 0.500 0.500

Results
Energy above the lowest structure with this stoichiometry = 0.00 eV/f.u.

Entry 4:
This record from Alexandria describes an optimized crystal structure of Ba3SrI. The functional is PBE.

Cell: 7.182 7.182 7.182 Å, 90.00 90.00 90.00°
Element x y z (fractional)
I 0.500 0.500 0.500
Sr 0.000 0.000 0.000
Ba 0.000 0.500 0.000
Ba 0.000 0.000 0.500
Ba 0.500 0.000 0.000

Results
Energy above the lowest structure with this stoichiometry = 3.15 eV/f.u.

Entry 5:
This record from Alexandria describes an optimized crystal structure of BaSr2I6. The functional is PBE.

Cell: 12.952 12.952 8.156 Å, 90.00 90.00 143.29°
Element x y z (fractional)
Ba 0.000 0.000 0.500
Ba 0.500 0.500 0.000
Sr 0.168 0.832 0.000
Sr 0.332 0.668 0.500
Sr 0.832 0.168 0.000
Sr 0.668 0.332 0.500
I 0.664 0.838 0.250
I 0.502 0.002 0.750
I 0.662 0.836 0.750
I 0.164 0.338 0.250
I 0.838 0.664 0.250
I 0.998 0.498 0.250
I 0.002 0.502 0.750
I 0.836 0.662 0.750
I 0.162 0.336 0.750
I 0.338 0.164 0.250
I 0.498 0.998 0.250
I 0.336 0.162 0.750

Results
Energy above the lowest structure with this stoichiometry = 0.28 eV/f.u.

Entry 6:
This record from Alexandria describes an optimized crystal structure of Ba2SrI6. The functional is PBE.

Cell: 14.641 14.641 7.815 Å, 90.00 90.00 120.00°
Element x y z (fractional)
Ba 0.000 0.642 0.000
Ba 0.000 0.307 0.500
Ba 0.358 0.358 0.000
Ba 0.307 0.000 0.500
Ba 0.693 0.693 0.500
Ba 0.642 0.000 0.000
Sr 0.333 0.667 0.493
Sr 0.000 0.000 0.000
Sr 0.667 0.333 0.507
I 0.086 0.873 0.761
I 0.229 0.776 0.251
I 0.120 0.541 0.736
I 0.421 0.880 0.736
I 0.224 0.453 0.251
I 0.127 0.214 0.761
I 0.547 0.771 0.251
I 0.214 0.127 0.239
I 0.459 0.579 0.736
I 0.786 0.914 0.761
I 0.453 0.224 0.749
I 0.579 0.459 0.264
I 0.541 0.120 0.264
I 0.771 0.547 0.749
I 0.914 0.786 0.239
I 0.776 0.229 0.749
I 0.880 0.421 0.264
I 0.873 0.086 0.239

Results
Energy above the lowest structure with this stoichiometry = 0.11 eV/f.u.

| no. | total DFT energy (no corrections) (eV/f.u.) | total moment (μB per cell) |
| --- | --- | --- |
| 1 | -39.999 | 0.77 |
| 2 | -30.226 | 0.00 |
| 3 | -14.600 | 0.66 |
| 4 | -7.627 | 4.63 |
| 5 | -29.807 | 0.00 |
| 6 | -30.414 | 0.00 |